1.
Crystalline SrCu2Pt at its relaxed geometry, computed with PBE.

ΔH_f (0 K): -0.37 eV/atom
Relative energy among the computed polymorphs: 0.000 eV per atom
Uncorrected energy: -0.1599 Ha/atom
Calculated density: 8.32 Mg/m³
D(E_F): 0.299 states/eV/atom

a = 4.2969 Å, b = 6.5330 Å, c = 5.8304 Å
α = 90.00°, β = 90.00°, γ = 90.00°
Atoms (fractional coordinates):
Sr 0.2500 0.2500 0.1109
Sr 0.7500 0.7500 0.8891
Cu 0.2500 0.0538 0.6003
Cu 0.2500 0.4462 0.6003
Cu 0.7500 0.5538 0.3997
Cu 0.7500 0.9462 0.3997
Pt 0.2500 0.7500 0.3116
Pt 0.7500 0.2500 0.6884

---

2.
Crystalline HgBi3Pd7 at its relaxed geometry, computed with PBE.

ΔH_f (0 K): -0.19 eV/atom
Uncorrected energy: -0.1682 Ha/atom
Calculated density: 12.21 Mg/m³
D(E_F): 0.361 states/eV/atom

a = 10.7918 Å, b = 10.7918 Å, c = 10.8853 Å
α = 90.00°, β = 90.00°, γ = 160.29°
Atoms (fractional coordinates):
Hg 0.0858 0.9142 0.7500
Hg 0.9142 0.0858 0.2500
Bi 0.0830 0.9170 0.0648
Bi 0.0830 0.9170 0.4352
Bi 0.2393 0.7607 0.7500
Bi 0.7607 0.2393 0.2500
Bi 0.9170 0.0830 0.5648
Bi 0.9170 0.0830 0.9352
Pd 0.2124 0.7876 0.0716
Pd 0.2124 0.7876 0.4284
Pd 0.3450 0.6550 0.1033
Pd 0.3450 0.6550 0.3967
Pd 0.3706 0.6294 0.7500
Pd 0.4883 0.5117 0.1248
Pd 0.4883 0.5117 0.3752
Pd 0.5117 0.4883 0.6248
Pd 0.5117 0.4883 0.8752
Pd 0.6294 0.3706 0.2500
Pd 0.6550 0.3450 0.6033
Pd 0.6550 0.3450 0.8967
Pd 0.7876 0.2124 0.5716
Pd 0.7876 0.2124 0.9284

---

3.
Crystalline Tb4Cu7Sn11 at its relaxed geometry, computed with PBE.

ΔH_f (0 K): -0.29 eV/atom
Uncorrected energy: -0.1631 Ha/atom
Calculated density: 8.03 Mg/m³
D(E_F): 0.325 states/eV/atom

a = 4.4328 Å, b = 4.4328 Å, c = 25.1072 Å
α = 90.00°, β = 90.00°, γ = 90.00°
Atoms (fractional coordinates):
Tb 0.0000 0.0000 0.0000
Tb 0.0000 0.0000 0.3176
Tb 0.5000 0.5000 0.4927
Tb 0.5000 0.5000 0.8117
Cu 0.0000 0.0000 0.4470
Cu 0.0000 0.0000 0.5403
Cu 0.0000 0.5000 0.4058
Cu 0.0000 0.5000 0.8979
Cu 0.5000 0.0000 0.4058
Cu 0.5000 0.0000 0.8979
Cu 0.5000 0.5000 0.0509
Sn 0.0000 0.0000 0.8366
Sn 0.0000 0.5000 0.1070
Sn 0.0000 0.5000 0.2229
Sn 0.0000 0.5000 0.5982
Sn 0.0000 0.5000 0.7151
Sn 0.5000 0.0000 0.1070
Sn 0.5000 0.0000 0.2229
Sn 0.5000 0.0000 0.5982
Sn 0.5000 0.0000 0.7151
Sn 0.5000 0.5000 0.3472
Sn 0.5000 0.5000 0.9520

---

4.
Crystalline DyScPb2 at its relaxed geometry, computed with PBE.

ΔH_f (0 K): -0.37 eV/atom
Uncorrected energy: -0.1821 Ha/atom
Calculated density: 9.80 Mg/m³
D(E_F): 0.940 states/eV/atom

a = 3.4635 Å, b = 3.4635 Å, c = 8.7872 Å
α = 90.00°, β = 90.00°, γ = 90.00°
Atoms (fractional coordinates):
Dy 0.0000 0.0000 0.0000
Sc 0.0000 0.0000 0.5000
Pb 0.5000 0.5000 0.2609
Pb 0.5000 0.5000 0.7391